Arrangement w

Here is an optimized crystal structure of SrScTc2 from Alexandria. Energies are from PBE-GGA.

The magnetic moment comes out at 0.000 μB/f.u.

It has space group F-43m (No. 216), with a = 6.774 Å, b = 6.774 Å, c = 6.774 Å, α = 90.00°, β = 90.00° and γ = 90.00°. Symmetry generates all atoms from Sr at (0.000, 0.000, 0.000), Sc at (0.250, 0.250, 0.750), Tc at (0.000, 0.000, 0.500) and Tc at (0.250, 0.250, 0.250).

---

Arrangement x

Here is an optimized crystal structure of SrScTc2 from Alexandria. Energies are from PBE-GGA.

The magnetic moment comes out at 0.238 μB/f.u.

It has space group Cmmm (No. 65), with a = 6.216 Å, b = 9.393 Å, c = 2.710 Å, α = 90.00°, β = 90.00° and γ = 90.00°. Symmetry generates all atoms from Sr at (0.000, 0.000, 0.000), Sc at (0.000, 0.500, 0.000) and Tc at (0.250, 0.250, 0.500).

---

Arrangement y

Here is an optimized crystal structure of SrScTc2 from Alexandria. Energies are from PBE-GGA.

The magnetic moment comes out at 0.000 μB/f.u.

It has space group Cmmm (No. 65), with a = 3.436 Å, b = 4.797 Å, c = 9.420 Å, α = 90.00°, β = 90.00° and γ = 90.00°. Symmetry generates all atoms from Sr at (0.000, 0.000, 0.000), Sc at (0.000, 0.000, 0.500) and Tc at (0.000, 0.500, 0.276).

---

Most stable: arrangement y. Least stable: arrangement x.

---

Arrangement w

Here is an optimized crystal structure of SrScTc2 from Alexandria. Energies are from PBE-GGA.

The magnetic moment comes out at 0.001 μB/f.u.

It has space group P4mm (No. 99), with a = 3.183 Å, b = 3.183 Å, c = 8.805 Å, α = 90.00°, β = 90.00° and γ = 90.00°. Symmetry generates all atoms from Sr at (0.000, 0.000, 0.000), Sc at (0.500, 0.500, 0.620), Tc at (0.000, 0.000, 0.417) and Tc at (0.500, 0.500, 0.271).

---

Arrangement x

Here is an optimized crystal structure of SrScTc2 from Alexandria. Energies are from PBE-GGA.

The magnetic moment comes out at 0.004 μB/f.u.

It has space group P4/mmm (No. 123), with a = 5.263 Å, b = 5.263 Å, c = 2.916 Å, α = 90.00°, β = 90.00° and γ = 90.00°. Symmetry generates all atoms from Sr at (0.000, 0.000, 0.000), Sc at (0.500, 0.500, 0.000) and Tc at (0.000, 0.500, 0.500).

---

Arrangement y

Here is an optimized crystal structure of SrScTc2 from Alexandria. Energies are from PBE-GGA.

The magnetic moment comes out at 0.000 μB/f.u.

It has space group C2/m (No. 12), with a = 9.628 Å, b = 3.793 Å, c = 6.055 Å, α = 90.00°, β = 107.24° and γ = 90.00°. Symmetry generates all atoms from Sr at (0.000, 0.000, 0.000), Sc at (0.000, 0.500, 0.500) and Tc at (0.249, 0.500, 0.384).

---

Most stable: arrangement w. Least stable: arrangement x.

---

Arrangement w

Here is an optimized crystal structure of SrScTc from Alexandria. Energies are from PBE-GGA.

The magnetic moment comes out at 0.000 μB/f.u.

It has space group P-6m2 (No. 187), with a = 4.6564 Å, b = 4.6564 Å, c = 3.9377 Å, α = 90.00°, β = 90.00° and γ = 120.00°. Symmetry generates all atoms from Sr at (0.0000, 0.0000, 0.0000), Sc at (0.3333, 0.6667, 0.5000) and Tc at (0.6667, 0.3333, 0.5000).

---

Arrangement x

Here is an optimized crystal structure of SrScTc from Alexandria. Energies are from PBE-GGA.

The magnetic moment comes out at 0.000 μB/f.u.

It has space group P3m1 (No. 156), with a = 3.4550 Å, b = 3.4550 Å, c = 7.5012 Å, α = 90.00°, β = 90.00° and γ = 120.00°. Symmetry generates all atoms from Sr at (0.0000, 0.0000, 0.0000), Sc at (0.6667, 0.3333, 0.5408) and Tc at (0.3333, 0.6667, 0.3110).

---

Arrangement y

Here is an optimized crystal structure of SrScTc from Alexandria. Energies are from PBE-GGA.

The magnetic moment comes out at 1.729 μB/f.u.

It has space group F-43m (No. 216), with a = 7.007 Å, b = 7.007 Å, c = 7.007 Å, α = 90.00°, β = 90.00° and γ = 90.00°. Symmetry generates all atoms from Sr at (0.000, 0.000, 0.000), Sc at (0.250, 0.250, 0.750) and Tc at (0.250, 0.250, 0.250).

---

Most stable: arrangement x. Least stable: arrangement y.

---

Arrangement w

Here is an optimized crystal structure of SrScTe from Alexandria. Energies are from PBE-GGA.

The magnetic moment comes out at 0.024 μB/f.u.

It has space group P-6m2 (No. 187), with a = 4.9705 Å, b = 4.9705 Å, c = 4.6248 Å, α = 90.00°, β = 90.00° and γ = 120.00°. Symmetry generates all atoms from Sr at (0.0000, 0.0000, 0.0000), Sc at (0.3333, 0.6667, 0.5000) and Te at (0.6667, 0.3333, 0.5000).

---

Arrangement x

Here is an optimized crystal structure of SrScTe from Alexandria. Energies are from PBE-GGA.

The magnetic moment comes out at 0.953 μB/f.u.

It has space group I4mm (No. 107), with a = 3.865 Å, b = 3.865 Å, c = 12.694 Å, α = 90.00°, β = 90.00° and γ = 90.00°. Symmetry generates all atoms from Sr at (0.000, 0.000, 0.000), Sc at (0.000, 0.000, 0.296) and Te at (0.000, 0.000, 0.693).

---

Most stable: arrangement x. Least stable: arrangement w.

---

Arrangement w

Here is an optimized crystal structure of SrScTe from Alexandria. Energies are from PBE-GGA.

The magnetic moment comes out at 1.705 μB/f.u.

It has space group F-43m (No. 216), with a = 7.341 Å, b = 7.341 Å, c = 7.341 Å, α = 90.00°, β = 90.00° and γ = 90.00°. Symmetry generates all atoms from Sr at (0.000, 0.000, 0.000), Sc at (0.000, 0.000, 0.500) and Te at (0.250, 0.250, 0.750).

---

Arrangement x

Here is an optimized crystal structure of SrScTe from Alexandria. Energies are from PBE-GGA.

The magnetic moment comes out at 1.706 μB/f.u.

It has space group F-43m (No. 216), with a = 7.737 Å, b = 7.737 Å, c = 7.737 Å, α = 90.00°, β = 90.00° and γ = 90.00°. Symmetry generates all atoms from Sr at (0.000, 0.000, 0.000), Sc at (0.250, 0.250, 0.750) and Te at (0.250, 0.250, 0.250).

---

Most stable: arrangement w. Least stable: arrangement x.

---

Arrangement w

Here is an optimized crystal structure of SrSc2Te2 from Alexandria. Energies are from PBE-GGA.

The magnetic moment comes out at 1.471 μB/f.u.

It has space group I4/mmm (No. 139), with a = 4.373 Å, b = 4.373 Å, c = 15.059 Å, α = 90.00°, β = 90.00° and γ = 90.00°. Symmetry generates all atoms from Sr at (0.000, 0.000, 0.000), Sc at (0.000, 0.500, 0.250) and Te at (0.000, 0.000, 0.382).

---

Arrangement x

Here is an optimized crystal structure of SrSc2Te2 from Alexandria. Energies are from PBE-GGA.

The magnetic moment comes out at 0.591 μB/f.u.

It has space group P4/mbm (No. 127), with a = 8.379 Å, b = 8.379 Å, c = 3.869 Å, α = 90.00°, β = 90.00° and γ = 90.00°. Symmetry generates all atoms from Sr at (0.000, 0.000, 0.000), Sc at (0.141, 0.359, 0.500) and Te at (0.146, 0.646, 0.000).

---

Most stable: arrangement w. Least stable: arrangement x.